Entry 1:
# TlBPb2 PBE optimized geometry
data_TlBPb2
_chemical_formula_sum 'Tl4 B4 Pb8'
_space_group_name_H-M_alt 'I -4 2 d'
_space_group_IT_number 122
_space_group_name_Hall 'I -4 2bw'
_cell_length_a 6.6024
_cell_length_b 6.6024
_cell_length_c 11.0439
_cell_angle_alpha 90.00
_cell_angle_beta 90.00
_cell_angle_gamma 90.00
loop_
_atom_site_label
_atom_site_type_symbol
_atom_site_fract_x
_atom_site_fract_y
_atom_site_fract_z
Tl1 Tl 0.0000 0.0000 0.0000
B1 B 0.0000 0.0000 0.5000
Pb1 Pb 0.1566 0.2500 0.6250
# Energy above the most stable polymorph in this dataset (eV/atom): 0.0000
# Calculated formation energy (eV/atom): 0.6964

Entry 2:
# Tl3BPb PBE optimized geometry
data_Tl3BPb
_chemical_formula_sum 'Tl3 B1 Pb1'
_space_group_name_H-M_alt 'P m -3 m'
_space_group_IT_number 221
_space_group_name_Hall '-P 4 2 3'
_cell_length_a 6.0208
_cell_length_b 6.0208
_cell_length_c 6.0208
_cell_angle_alpha 90.00
_cell_angle_beta 90.00
_cell_angle_gamma 90.00
loop_
_atom_site_label
_atom_site_type_symbol
_atom_site_fract_x
_atom_site_fract_y
_atom_site_fract_z
Tl1 Tl 0.0000 0.0000 0.5000
B1 B 0.5000 0.5000 0.5000
Pb1 Pb 0.0000 0.0000 0.0000
# Energy above the most stable polymorph in this dataset (eV/atom): 0.7855
# Calculated formation energy (eV/atom): 1.4149

Entry 3:
# Tm12BPb6 PBE optimized geometry
data_Tm12BPb6
_chemical_formula_sum 'Tm36 B3 Pb18'
_space_group_name_H-M_alt 'R -3'
_space_group_IT_number 148
_space_group_name_Hall '-R 3'
_cell_length_a 11.8640
_cell_length_b 11.8640
_cell_length_c 13.7607
_cell_angle_alpha 90.00
_cell_angle_beta 90.00
_cell_angle_gamma 120.00
loop_
_atom_site_label
_atom_site_type_symbol
_atom_site_fract_x
_atom_site_fract_y
_atom_site_fract_z
Tm1 Tm 0.0276 0.1850 0.3892
Tm2 Tm 0.0304 0.8487 0.8924
B1 B 0.0000 0.0000 0.0000
Pb1 Pb 0.0045 0.3835 0.2502
# Calculated formation energy (eV/atom): -0.3182

Entry 4:
# Tm6BPb2 PBE optimized geometry
data_Tm6BPb2
_chemical_formula_sum 'Tm12 B2 Pb4'
_space_group_name_H-M_alt 'I 4/m m m'
_space_group_IT_number 139
_space_group_name_Hall '-I 4 2'
_cell_length_a 6.9212
_cell_length_b 6.9212
_cell_length_c 9.8027
_cell_angle_alpha 90.00
_cell_angle_beta 90.00
_cell_angle_gamma 90.00
loop_
_atom_site_label
_atom_site_type_symbol
_atom_site_fract_x
_atom_site_fract_y
_atom_site_fract_z
Tm1 Tm 0.0000 0.0000 0.2484
Tm2 Tm 0.2483 0.2483 0.0000
B1 B 0.0000 0.0000 0.0000
Pb1 Pb 0.0000 0.5000 0.2500
# Energy above the most stable polymorph in this dataset (eV/atom): 0.0000
# Calculated formation energy (eV/atom): -0.3479

Entry 5:
# Tm6BPb2 PBE optimized geometry
data_Tm6BPb2
_chemical_formula_sum 'Tm12 B2 Pb4'
_space_group_name_H-M_alt 'I m m m'
_space_group_IT_number 71
_space_group_name_Hall '-I 2 2'
_cell_length_a 4.9042
_cell_length_b 7.0235
_cell_length_c 14.5761
_cell_angle_alpha 90.00
_cell_angle_beta 90.00
_cell_angle_gamma 90.00
loop_
_atom_site_label
_atom_site_type_symbol
_atom_site_fract_x
_atom_site_fract_y
_atom_site_fract_z
Tm1 Tm 0.0000 0.2180 0.0000
Tm2 Tm 0.0000 0.2687 0.3497
B1 B 0.0000 0.5000 0.5000
Pb1 Pb 0.0000 0.5000 0.1661
# Energy above the most stable polymorph in this dataset (eV/atom): 0.3159
# Calculated formation energy (eV/atom): -0.0319

Entry 6:
# VBPb3 PBE optimized geometry
data_VBPb3
_chemical_formula_sum 'V1 B1 Pb3'
_space_group_name_H-M_alt 'P m -3 m'
_space_group_IT_number 221
_space_group_name_Hall '-P 4 2 3'
_cell_length_a 5.0173
_cell_length_b 5.0173
_cell_length_c 5.0173
_cell_angle_alpha 90.00
_cell_angle_beta 90.00
_cell_angle_gamma 90.00
loop_
_atom_site_label
_atom_site_type_symbol
_atom_site_fract_x
_atom_site_fract_y
_atom_site_fract_z
V1 V 0.0000 0.0000 0.0000
B1 B 0.5000 0.5000 0.5000
Pb1 Pb 0.0000 0.5000 0.5000
# Energy above the most stable polymorph in this dataset (eV/atom): 0.0000
# Calculated formation energy (eV/atom): 1.0868

Entry 7:
# VBPb3 PBE optimized geometry
data_VBPb3
_chemical_formula_sum 'V1 B1 Pb3'
_space_group_name_H-M_alt 'P m -3 m'
_space_group_IT_number 221
_space_group_name_Hall '-P 4 2 3'
_cell_length_a 5.2757
_cell_length_b 5.2757
_cell_length_c 5.2757
_cell_angle_alpha 90.00
_cell_angle_beta 90.00
_cell_angle_gamma 90.00
loop_
_atom_site_label
_atom_site_type_symbol
_atom_site_fract_x
_atom_site_fract_y
_atom_site_fract_z
V1 V 0.0000 0.0000 0.0000
B1 B 0.5000 0.5000 0.5000
Pb1 Pb 0.0000 0.0000 0.5000
# Energy above the most stable polymorph in this dataset (eV/atom): 0.1726
# Calculated formation energy (eV/atom): 1.2594

Entry 8:
# VB2Pb PBE optimized geometry
data_VB2Pb
_chemical_formula_sum 'V4 B8 Pb4'
_space_group_name_H-M_alt 'I -4 2 d'
_space_group_IT_number 122
_space_group_name_Hall 'I -4 2bw'
_cell_length_a 5.5930
_cell_length_b 5.5930
_cell_length_c 8.4349
_cell_angle_alpha 90.00
_cell_angle_beta 90.00
_cell_angle_gamma 90.00
loop_
_atom_site_label
_atom_site_type_symbol
_atom_site_fract_x
_atom_site_fract_y
_atom_site_fract_z
V1 V 0.0000 0.0000 0.0000
B1 B 0.2011 0.2500 0.1250
Pb1 Pb 0.0000 0.0000 0.5000
# Calculated formation energy (eV/atom): 1.0914